DFT (PBE) results for an optimized crystal structure of PrAl2In.

Calculated values
The energy relative to the lowest polymorph listed for this composition comes out at 0.0 meV per atom. Its space-group type is No. 123. The calculation puts the formation energy at -1.4 eV/f.u.

a b c (Å): 4.5519 4.5519 4.4267
angles (deg): 90.00 90.00 90.00
With the nearest neighbours (Å) after each atom.
Positions (direct):
Pr: 0.0000 0.0000 0.0000  8 Al 3.17, 4 In 3.22
Al: 0.0000 0.5000 0.5000  4 In 3.17, 4 Pr 3.17, 4 Al 3.22
Al: 0.5000 0.0000 0.5000  4 In 3.17, 4 Pr 3.17, 4 Al 3.22
In: 0.5000 0.5000 0.0000  8 Al 3.17, 4 Pr 3.22


DFT (PBE) results for an optimized crystal structure of PrAlIn.

Calculated values
Its space-group type is No. 129. The calculation puts the formation energy at -1.1 eV/f.u.

a b c (Å): 4.5910 4.5910 7.4761
angles (deg): 90.00 90.00 90.00
With the nearest neighbours (Å) after each atom.
Positions (direct):
Pr: 0.2500 0.2500 0.1827  5 In 3.29, 4 Al 3.30
Pr: 0.7500 0.7500 0.8173  5 In 3.29, 4 Al 3.30
Al: 0.2500 0.7500 0.5000  4 In 2.93, 4 Al 3.25
Al: 0.7500 0.2500 0.5000  4 In 2.93, 4 Al 3.25
In: 0.2500 0.2500 0.7431  4 Al 2.93
In: 0.7500 0.7500 0.2569  4 Al 2.93


DFT (PBE) results for an optimized crystal structure of Pr3AlIn.

Calculated values
The energy relative to the lowest polymorph listed for this composition comes out at 0.0 meV per atom. Its space-group type is No. 63. The calculation puts the formation energy at -1.5 eV/f.u.

a b c (Å): 11.8821 11.8821 5.0836
angles (deg): 90.00 90.00 155.29
With the nearest neighbours (Å) after each atom.
Positions (direct):
Pr: 0.0640 0.9360 0.7500  2 Al 3.31, 2 In 3.32, 4 Pr 3.59
Pr: 0.2501 0.7499 0.7500  4 In 3.35, 4 Al 3.36, 4 Pr 3.59
Pr: 0.4362 0.5638 0.7500  2 Al 3.31, 2 In 3.32, 4 Pr 3.59
Pr: 0.5638 0.4362 0.2500  2 Al 3.31, 2 In 3.32, 4 Pr 3.59
Pr: 0.7499 0.2501 0.2500  4 In 3.35, 4 Al 3.36, 4 Pr 3.59
Pr: 0.9360 0.0640 0.2500  2 Al 3.31, 2 In 3.32, 4 Pr 3.59
Al: 0.1554 0.8446 0.2500  8 Pr 3.31-3.36, 4 In 3.59
Al: 0.8446 0.1554 0.7500  8 Pr 3.31-3.36, 4 In 3.59
In: 0.3440 0.6560 0.2500  8 Pr 3.32-3.35, 4 Al 3.59
In: 0.6560 0.3440 0.7500  8 Pr 3.32-3.35, 4 Al 3.59


DFT (PBE) results for an optimized crystal structure of Pr3AlIn.

Calculated values
The energy relative to the lowest polymorph listed for this composition comes out at 127.1 meV per atom. Its space-group type is No. 194. The calculation puts the formation energy at -0.8 eV/f.u.

a b c (Å): 8.4238 8.4238 5.2773
angles (deg): 90.00 90.00 120.00
With the nearest neighbours (Å) after each atom.
Positions (direct):
Pr: 0.1915 0.3829 0.2500  2 Al 3.09, 2 In 3.35
Pr: 0.1915 0.8085 0.2500  2 Al 3.09, 2 In 3.35
Pr: 0.3829 0.1915 0.7500  2 Al 3.09, 2 In 3.35
Pr: 0.6171 0.8085 0.2500  2 Al 3.09, 2 In 3.35
Pr: 0.8085 0.1915 0.7500  2 Al 3.09, 2 In 3.35
Pr: 0.8085 0.6171 0.7500  2 Al 3.09, 2 In 3.35
Al: 0.0000 0.0000 0.0000  2 Al 2.64
Al: 0.0000 0.0000 0.5000  2 Al 2.64
In: 0.3333 0.6667 0.7500  6 Pr 3.35
In: 0.6667 0.3333 0.2500  6 Pr 3.35


DFT (PBE) results for an optimized crystal structure of Pr5Al4In.

Calculated values
Its space-group type is No. 123. The calculation puts the formation energy at -3.7 eV/f.u.

a b c (Å): 3.7829 3.7829 19.0095
angles (deg): 90.00 90.00 90.00
With the nearest neighbours (Å) after each atom.
Positions (direct):
Pr: 0.0000 0.0000 0.0000  8 Al 3.26
Pr: 0.0000 0.0000 0.1954  8 Al 3.25-3.27
Pr: 0.0000 0.0000 0.3923  4 Al 3.26, 4 In 3.37
Pr: 0.0000 0.0000 0.6077  4 Al 3.26, 4 In 3.37
Pr: 0.0000 0.0000 0.8046  8 Al 3.25-3.27
Al: 0.5000 0.5000 0.0979  8 Pr 3.25-3.26
Al: 0.5000 0.5000 0.2940  8 Pr 3.26-3.27
Al: 0.5000 0.5000 0.7060  8 Pr 3.26-3.27
Al: 0.5000 0.5000 0.9021  8 Pr 3.25-3.26
In: 0.5000 0.5000 0.5000  8 Pr 3.37


DFT (PBE) results for an optimized crystal structure of PrAl2In.

Calculated values
The energy relative to the lowest polymorph listed for this composition comes out at 289.5 meV per atom. Its space-group type is No. 166. The calculation puts the formation energy at -0.3 eV/f.u.

a b c (Å): 5.1161 5.1161 5.1161
angles (deg): 60.20 60.20 60.20
With the nearest neighbours (Å) after each atom.
Positions (direct):
Pr: 0.0000 0.0000 0.0000  8 Al 3.13-3.14
Al: 0.2504 0.2504 0.2504  4 In 3.12-3.14, 4 Pr 3.13-3.14
Al: 0.7496 0.7496 0.7496  4 In 3.12-3.14, 4 Pr 3.13-3.14
In: 0.5000 0.5000 0.5000  8 Al 3.12-3.14


DFT (PBE) results for an optimized crystal structure of Pr4Al3In.

Calculated values
The energy relative to the lowest polymorph listed for this composition comes out at 10.3 meV per atom. Its space-group type is No. 25. The calculation puts the formation energy at -2.9 eV/f.u.

a b c (Å): 4.3452 4.6043 11.7271
angles (deg): 90.00 90.00 90.00
With the nearest neighbours (Å) after each atom.
Positions (direct):
Pr: 0.0000 0.0000 0.0000  5 Al 3.28-3.35, 2 In 3.46
Pr: 0.0000 0.5000 0.4885  6 Al 3.27-3.31, 1 In 3.41
Pr: 0.5000 0.0000 0.7076  4 In 3.28, 3 Al 3.39-3.46
Pr: 0.5000 0.5000 0.2115  7 Al 3.28-3.35
Al: 0.0000 0.0000 0.2859  2 Al 2.67
Al: 0.5000 0.0000 0.4186  2 Al 2.67
Al: 0.5000 0.5000 0.9279  2 In 2.78
In: 0.0000 0.5000 0.7794  2 Al 2.78


DFT (PBE) results for an optimized crystal structure of Pr4Al2In.

Calculated values
The energy relative to the lowest polymorph listed for this composition comes out at 120.8 meV per atom. Its space-group type is No. 166. The calculation puts the formation energy at -0.9 eV/f.u.

a b c (Å): 9.8618 9.8618 9.8618
angles (deg): 31.05 31.05 31.05
With the nearest neighbours (Å) after each atom.
Positions (direct):
Pr: 0.1194 0.1194 0.1194  3 In 3.33, 3 Al 3.33
Pr: 0.2955 0.2955 0.2955  4 Al 3.08-3.19
Pr: 0.7045 0.7045 0.7045  4 Al 3.08-3.19
Pr: 0.8806 0.8806 0.8806  3 In 3.33, 3 Al 3.33
Al: 0.4051 0.4051 0.4051  1 In 2.67
Al: 0.5949 0.5949 0.5949  1 In 2.67
In: 0.5000 0.5000 0.5000  2 Al 2.67